This record from the Alexandria database describes a relaxed structure of Li8FeO4F2. The functional is GGA+U.

Geometry as extended XYZ:
```
30
Lattice="4.8065 -2.8903 0.0000 4.8065 2.8903 0.0000 0.0000 0.0000 10.9106" Properties=species:S:1:pos:R:3 pbc="T T T"
Li 4.8065 2.5699 5.4553
Li 3.0137 1.1234 0.2093
Li 1.5991 0.0150 3.0793
Li 1.5991 -0.0150 8.5346
Li 4.8065 1.8539 1.7211
Li 3.3847 0.8935 6.9994
Li 6.5993 1.1234 0.2093
Li 6.2283 0.8935 6.9994
Li 3.3847 -0.8935 1.5441
Li 3.0137 -1.1234 5.6646
Li 6.2283 -0.8935 1.5441
Li 4.8065 -1.8539 7.1764
Li 8.0140 0.0150 3.0793
Li 8.0140 -0.0150 8.5346
Li 6.5993 -1.1234 5.6646
Li 4.8065 -2.5699 0.0000
Fe 4.8065 0.2957 4.2743
Fe 4.8065 -0.2957 9.7296
O 4.8065 2.0500 3.6123
O 1.6330 0.0252 1.0607
O 1.6330 -0.0252 6.5160
O 4.8065 0.1940 0.6876
O 4.8065 -0.1940 6.1429
O 7.9800 0.0252 1.0607
O 7.9800 -0.0252 6.5160
O 4.8065 -2.0500 9.0676
F 3.2218 0.9822 9.0177
F 6.3913 0.9822 9.0177
F 3.2218 -0.9822 3.5624
F 6.3913 -0.9822 3.5624
```

Raw total energy, eV per atom: -4.96
Crystal system: orthorhombic
Distance to the lowest polymorph of the same formula, meV per atom: 14